VASP calculation (GGA-PBE) on a relaxed structure of Nd3Sn2Ge2. Values from VASP.

Results
Formation energy   -708 meV/atom
Space-group type   C2/m (12)
DOS at the Fermi energy   3.56 states/eV/f.u.

Structure (Quantum ESPRESSO input):
```
&SYSTEM
  ibrav = 0, nat = 7, ntyp = 3
/
ATOMIC_SPECIES
Ge 72.64 Ge.upf
Sn 118.71 Sn.upf
Nd 144.24 Nd.upf
ATOMIC_POSITIONS angstrom
Ge -3.844 -0.939 0.557
Ge 0.851 -6.497 -1.846
Sn 0.622 -2.418 -0.552
Sn -3.615 -5.018 -0.736
Nd -0.864 -0.670 1.961
Nd -2.281 -2.242 -1.771
Nd -0.712 -5.194 0.482
CELL_PARAMETERS angstrom
-1.728 -1.341 3.923
-4.455 1.126 -4.148
3.190 -7.221 -1.063
```